[1]
{
  "formula": "TbTh4P5",
  "functional": "PBE",
  "state": "relaxed",
  "final_energy_ev_per_atom": -7.70,
  "n_ef_per_ev_cell": 5.2,
  "vol_a3_per_atom": 24.77,
  "formation_enthalpy_0k_mev_per_atom": -1562,
  "lattice": [[5.255, 0.000, 2.535], [2.628, 6.516, 1.267], [-0.203, 0.000, 7.136]],
  "species": ["Tb", "Th", "Th", "Th", "Th", "P", "P", "P", "P", "P"],
  "frac_coords": [[0.001, 0.000, 0.000], [0.401, 0.400, 0.800], [0.801, 0.800, 0.600], [0.201, 0.200, 0.400], [0.601, 0.600, 0.200], [0.902, 0.396, 0.802], [0.298, 0.802, 0.604], [0.704, 0.198, 0.396], [0.100, 0.604, 0.198], [0.501, 0.000, 0.000]]
}

[2]
{
  "formula": "TbTmTh2P4",
  "functional": "PBE",
  "state": "relaxed",
  "final_energy_ev_per_atom": -7.28,
  "n_ef_per_ev_cell": 3.7,
  "vol_a3_per_atom": 23.78,
  "formation_enthalpy_0k_mev_per_atom": -1578,
  "lattice": [[4.080, 0.000, 0.000], [0.000, 7.006, -0.113], [0.000, 2.491, 6.616]],
  "species": ["Tb", "Tm", "Th", "Th", "P", "P", "P", "P"],
  "frac_coords": [[0.500, 0.500, 0.000], [0.000, 0.500, 0.500], [0.000, 0.000, 0.000], [0.500, 0.000, 0.500], [0.000, 0.742, 0.750], [0.000, 0.258, 0.250], [0.500, 0.741, 0.255], [0.500, 0.259, 0.745]]
}

[3]
{
  "formula": "Tb3TmTh2P6",
  "functional": "PBE",
  "state": "relaxed",
  "final_energy_ev_per_atom": -7.07,
  "n_ef_per_ev_cell": 3.8,
  "vol_a3_per_atom": 23.63,
  "formation_enthalpy_0k_mev_per_atom": -1598,
  "lattice": [[-1.682, 0.063, -3.701], [4.515, -6.373, -2.160], [-6.484, -3.754, 5.116]],
  "species": ["Tb", "Tb", "Tb", "Tm", "Th", "Th", "P", "P", "P", "P", "P", "P"],
  "frac_coords": [[0.500, 0.500, 0.000], [0.834, 0.166, 0.668], [0.166, 0.834, 0.332], [0.500, 0.000, 0.000], [0.836, 0.670, 0.671], [0.164, 0.330, 0.329], [0.335, 0.922, 0.670], [0.666, 0.586, 0.331], [0.665, 0.078, 0.330], [0.998, 0.246, 0.997], [0.002, 0.754, 0.003], [0.334, 0.414, 0.669]]
}

[4]
{
  "formula": "Tb2ThUP4",
  "functional": "PBE",
  "state": "relaxed",
  "final_energy_ev_per_atom": -7.63,
  "n_ef_per_ev_cell": 7.3,
  "vol_a3_per_atom": 23.28,
  "formation_enthalpy_0k_mev_per_atom": -1426,
  "lattice": [[4.035, 0.000, 0.000], [0.000, 6.985, 0.121], [0.000, -2.441, 6.564]],
  "species": ["Tb", "Tb", "Th", "U", "P", "P", "P", "P"],
  "frac_coords": [[0.500, 0.000, 0.500], [0.000, 0.500, 0.500], [0.500, 0.500, 0.000], [0.000, 0.000, 0.000], [0.500, 0.242, 0.247], [0.500, 0.758, 0.753], [0.000, 0.242, 0.749], [0.000, 0.758, 0.251]]
}

For each record above, in turn, the calculated theoretical density values are 8.32, 7.99, 7.59, 8.13 g/cm³.